TlHgAs2 (SCAN, single point on PBEsol structure); symmetry = No. 160; energy relative to the elements = 0.06 eV/f.u.; polymorph energy (0 for the lowest one) = 0.0000 eV per atom; magnetization = 0.00 μB per cell; volume = 97.96 Å³/cell; Fermi-level density of states = 1.18 states/eV per cell
1.0
1.781 1.028 8.913
-1.781 1.028 8.913
0.000 -2.057 8.913
Tl Hg As
1 1 2
Cartesian
0.000 0.000 0.000 Tl
0.000 0.000 6.439 Hg
0.000 0.000 12.989 As
0.000 0.000 20.475 As